Entry 1:
## FePt2Au2 (PBE-GGA)

Data for a relaxed structure of FePt2Au2.

a = 6.5271 Å, b = 6.5271 Å, c = 4.1280 Å
α = 90.00°, β = 90.00°, γ = 90.00°
With the nearest neighbours (Å) after each atom.
Element x y z (fractional)
Fe  0.0000  0.0000  0.0000  4 Pt 2.51
Fe  0.5000  0.5000  0.0000  4 Pt 2.51
Pt  0.1418  0.3582  0.0000  2 Fe 2.51, 1 Pt 2.62, 2 Au 2.73
Pt  0.3582  0.8582  0.0000  2 Fe 2.51, 1 Pt 2.62, 2 Au 2.73
Pt  0.6418  0.1418  0.0000  2 Fe 2.51, 1 Pt 2.62, 2 Au 2.73
Pt  0.8582  0.6418  0.0000  2 Fe 2.51, 1 Pt 2.62, 2 Au 2.73
Au  0.1643  0.6643  0.5000  6 Pt 2.73-2.88, 1 Au 3.03
Au  0.3357  0.1643  0.5000  6 Pt 2.73-2.88, 1 Au 3.03
Au  0.6643  0.8357  0.5000  6 Pt 2.73-2.88, 1 Au 3.03
Au  0.8357  0.3357  0.5000  6 Pt 2.73-2.88, 1 Au 3.03

Calculated values
Total moment, Bohr magnetons per cell: 8.1
SG: P4/mbm
Energy of formation, meV per atom: 168

---

Entry 2:
## As2PtCl (PBE-GGA)

Data for a relaxed structure of As2PtCl.

a = 3.2018 Å, b = 5.2126 Å, c = 8.8793 Å
α = 90.00°, β = 90.00°, γ = 90.00°
With the nearest neighbours (Å) after each atom.
Element x y z (fractional)
As  0.0000  0.0000  0.2352  2 Pt 2.63, 2 Cl 2.84
As  0.0000  0.0000  0.7648  2 Pt 2.63, 2 Cl 2.84
As  0.5000  0.5000  0.2352  2 Pt 2.63, 2 Cl 2.84
As  0.5000  0.5000  0.7648  2 Pt 2.63, 2 Cl 2.84
Pt  0.0000  0.5000  0.0000  4 As 2.63
Pt  0.5000  0.0000  0.0000  4 As 2.63
Cl  0.0000  0.5000  0.5000  4 As 2.84, 4 Cl 3.06
Cl  0.5000  0.0000  0.5000  4 As 2.84, 4 Cl 3.06

Calculated values
Total moment, Bohr magnetons per cell: 0.0
SG: Cmmm
Formation energy (no corrections), eV per atom: 0.17

---

Entry 3:
## Sm2GaSb (PBE-GGA)

Data for a relaxed structure of Sm2GaSb.

a = 4.9561 Å, b = 4.9561 Å, c = 4.2649 Å
α = 90.00°, β = 90.00°, γ = 90.00°
With the nearest neighbours (Å) after each atom.
Element x y z (fractional)
Sm  0.0000  0.5000  0.0000  4 Sb 3.27, 4 Ga 3.27, 4 Sm 3.50
Sm  0.5000  0.0000  0.0000  4 Sb 3.27, 4 Ga 3.27, 4 Sm 3.50
Ga  0.0000  0.0000  0.5000  8 Sm 3.27, 4 Sb 3.50
Sb  0.5000  0.5000  0.5000  8 Sm 3.27, 4 Ga 3.50

Calculated values
Total moment, Bohr magnetons per cell: 0.0
SG: P4/mmm
Formation energy (no corrections), eV per atom: -0.68

---

Entry 4:
## BaCaZr2I (PBE-GGA)

Data for a relaxed structure of BaCaZr2I.

a = 5.5457 Å, b = 5.5457 Å, c = 6.0908 Å
α = 90.00°, β = 90.00°, γ = 90.00°
With the nearest neighbours (Å) after each atom.
Element x y z (fractional)
Ba  0.0000  0.0000  0.0000  4 I 3.92, 8 Zr 4.12
Ca  0.5000  0.5000  0.5000  4 Zr 2.77, 2 I 3.05
Zr  0.0000  0.5000  0.5000  2 Ca 2.77
Zr  0.5000  0.0000  0.5000  2 Ca 2.77
I  0.5000  0.5000  0.0000  2 Ca 3.05

Calculated values
Total moment, Bohr magnetons per cell: 4.0
SG: P4/mmm
Formation energy (no corrections), eV per atom: 0.93

---

Entry 5:
## La2TbSm8 (PBE-GGA)

Data for a relaxed structure of La2TbSm8.

a = 9.0646 Å, b = 9.0646 Å, c = 6.8377 Å
α = 99.84°, β = 99.84°, γ = 44.16°
With the nearest neighbours (Å) after each atom.
Element x y z (fractional)
La  0.1985  0.1985  0.3030  7 Sm 3.41-3.76
La  0.8015  0.8015  0.6970  7 Sm 3.41-3.76
Tb  0.0000  0.0000  0.5000  4 Sm 3.40
Sm  0.1751  0.6494  0.0947  5 Sm 3.23-3.58, 1 Tb 3.40, 1 La 3.49
Sm  0.2436  0.2436  0.8099  5 Sm 3.33-3.52, 4 La 3.41-3.66
Sm  0.3506  0.8249  0.9053  5 Sm 3.23-3.58, 1 Tb 3.40, 1 La 3.49
Sm  0.4120  0.4120  0.5907  8 Sm 3.41-3.81, 1 La 3.76, 2 Tb 3.81
Sm  0.5880  0.5880  0.4093  8 Sm 3.41-3.81, 1 La 3.76, 2 Tb 3.81
Sm  0.6494  0.1751  0.0947  5 Sm 3.23-3.58, 1 Tb 3.40, 1 La 3.49
Sm  0.7564  0.7564  0.1901  5 Sm 3.33-3.52, 4 La 3.41-3.66
Sm  0.8249  0.3506  0.9053  5 Sm 3.23-3.58, 1 Tb 3.40, 1 La 3.49

Calculated values
Total moment, Bohr magnetons per cell: 0.0
SG: C2/m
Energy of formation, meV per atom: 147

---

Entry 6:
## CeGdTcOs (PBE-GGA)

Data for a relaxed structure of CeGdTcOs.

a = 6.8902 Å, b = 6.8902 Å, c = 6.8902 Å
α = 90.00°, β = 90.00°, γ = 90.00°
With the nearest neighbours (Å) after each atom.
Element x y z (fractional)
Ce  0.0000  0.0000  0.0000  4 Tc 2.98, 4 Os 2.98
Ce  0.0000  0.5000  0.5000  4 Tc 2.98, 4 Os 2.98
Ce  0.5000  0.0000  0.5000  4 Tc 2.98, 4 Os 2.98
Ce  0.5000  0.5000  0.0000  4 Tc 2.98, 4 Os 2.98
Gd  0.0000  0.0000  0.5000  4 Os 2.98, 4 Tc 2.98
Gd  0.0000  0.5000  0.0000  4 Os 2.98, 4 Tc 2.98
Gd  0.5000  0.0000  0.0000  4 Os 2.98, 4 Tc 2.98
Gd  0.5000  0.5000  0.5000  4 Os 2.98, 4 Tc 2.98
Tc  0.2500  0.2500  0.2500  4 Gd 2.98, 4 Ce 2.98
Tc  0.2500  0.7500  0.7500  4 Gd 2.98, 4 Ce 2.98
Tc  0.7500  0.2500  0.7500  4 Gd 2.98, 4 Ce 2.98
Tc  0.7500  0.7500  0.2500  4 Gd 2.98, 4 Ce 2.98
Os  0.2500  0.2500  0.7500  4 Gd 2.98, 4 Ce 2.98
Os  0.2500  0.7500  0.2500  4 Gd 2.98, 4 Ce 2.98
Os  0.7500  0.2500  0.2500  4 Gd 2.98, 4 Ce 2.98
Os  0.7500  0.7500  0.7500  4 Gd 2.98, 4 Ce 2.98

Calculated values
Total moment, Bohr magnetons per cell: 27.9
SG: F-43m
Energy of formation, meV per atom: -5

---

Entry 7:
## MnZn4Ir (PBE-GGA)

Data for a relaxed structure of MnZn4Ir.

a = 9.0807 Å, b = 4.2915 Å, c = 5.3820 Å
α = 90.00°, β = 126.14°, γ = 90.00°
With the nearest neighbours (Å) after each atom.
Element x y z (fractional)
Mn  0.0000  0.0000  0.0000  2 Ir 2.69, 12 Zn 2.79-2.81
Mn  0.5000  0.5000  0.0000  2 Ir 2.69, 12 Zn 2.79-2.81
Zn  0.1659  0.5000  0.4170  5 Zn 2.43-2.69
Zn  0.1661  0.5000  0.9172  5 Zn 2.43-2.69
Zn  0.3339  0.0000  0.0828  5 Zn 2.43-2.69
Zn  0.3341  0.0000  0.5830  5 Zn 2.43-2.69
Zn  0.6659  0.0000  0.4170  5 Zn 2.43-2.69
Zn  0.6661  0.0000  0.9172  5 Zn 2.43-2.69
Zn  0.8339  0.5000  0.0828  5 Zn 2.43-2.69
Zn  0.8341  0.5000  0.5830  5 Zn 2.43-2.69
Ir  0.0000  0.0000  0.5000  2 Mn 2.69, 12 Zn 2.79-2.82
Ir  0.5000  0.5000  0.5000  2 Mn 2.69, 12 Zn 2.79-2.82

Calculated values
Total moment, Bohr magnetons per cell: 8.0
SG: C2/m
Energy of formation, meV per atom: -114

---

Entry 8:
## ZrNi2Ru (PBE-GGA)

Data for a relaxed structure of ZrNi2Ru.

a = 6.1474 Å, b = 6.1474 Å, c = 6.1474 Å
α = 90.00°, β = 90.00°, γ = 90.00°
With the nearest neighbours (Å) after each atom.
Element x y z (fractional)
Zr  0.0000  0.0000  0.0000  4 Ni 2.66, 4 Ru 2.66
Zr  0.0000  0.5000  0.5000  4 Ni 2.66, 4 Ru 2.66
Zr  0.5000  0.0000  0.5000  4 Ni 2.66, 4 Ru 2.66
Zr  0.5000  0.5000  0.0000  4 Ni 2.66, 4 Ru 2.66
Ni  0.0000  0.0000  0.5000  4 Ru 2.66, 4 Ni 2.66
Ni  0.0000  0.5000  0.0000  4 Ru 2.66, 4 Ni 2.66
Ni  0.2500  0.2500  0.2500  4 Ni 2.66, 4 Zr 2.66
Ni  0.2500  0.7500  0.7500  4 Zr 2.66, 4 Ni 2.66
Ni  0.5000  0.0000  0.0000  4 Ru 2.66, 4 Ni 2.66
Ni  0.5000  0.5000  0.5000  4 Ru 2.66, 4 Ni 2.66
Ni  0.7500  0.2500  0.7500  4 Zr 2.66, 4 Ni 2.66
Ni  0.7500  0.7500  0.2500  4 Zr 2.66, 4 Ni 2.66
Ru  0.2500  0.2500  0.7500  4 Zr 2.66, 4 Ni 2.66
Ru  0.2500  0.7500  0.2500  4 Zr 2.66, 4 Ni 2.66
Ru  0.7500  0.2500  0.2500  4 Zr 2.66, 4 Ni 2.66
Ru  0.7500  0.7500  0.7500  4 Zr 2.66, 4 Ni 2.66

Calculated values
Total moment, Bohr magnetons per cell: 5.6
SG: F-43m
Energy of formation, meV per atom: -109

---

Entry 9:
## SiNi2SbH (PBE-GGA)

Data for a relaxed structure of SiNi2SbH.

a = 3.8536 Å, b = 3.8536 Å, c = 4.2777 Å
α = 90.00°, β = 90.00°, γ = 90.00°
With the nearest neighbours (Å) after each atom.
Element x y z (fractional)
Si  0.0000  0.0000  0.0000  4 Sb 2.72, 8 Ni 2.88
Ni  0.0000  0.5000  0.5000  2 H 1.93
Ni  0.5000  0.0000  0.5000  2 H 1.93
Sb  0.5000  0.5000  0.0000  2 H 2.14
H  0.5000  0.5000  0.5000  4 Ni 1.93, 2 Sb 2.14

Calculated values
Total moment, Bohr magnetons per cell: 0.0
SG: P4/mmm
Final energy, eV/atom: -4.496

---

Entry 10:
## Li2HgSe2 (PBE-GGA)

Data for a relaxed structure of Li2HgSe2.

a = 7.5088 Å, b = 7.5088 Å, c = 3.8352 Å
α = 90.00°, β = 90.00°, γ = 90.00°
With the nearest neighbours (Å) after each atom.
Element x y z (fractional)
Li  0.1400  0.3600  0.0000  2 Se 2.73, 1 Li 2.97
Li  0.3600  0.8600  0.0000  2 Se 2.73, 1 Li 2.97
Li  0.6400  0.1400  0.0000  2 Se 2.73, 1 Li 2.97
Li  0.8600  0.6400  0.0000  2 Se 2.73, 1 Li 2.97
Hg  0.0000  0.0000  0.5000  4 Se 2.76
Hg  0.5000  0.5000  0.5000  4 Se 2.76
Se  0.1776  0.6776  0.5000  2 Li 2.73, 2 Hg 2.76
Se  0.3224  0.1776  0.5000  2 Li 2.73, 2 Hg 2.76
Se  0.6776  0.8224  0.5000  2 Li 2.73, 2 Hg 2.76
Se  0.8224  0.3224  0.5000  2 Li 2.73, 2 Hg 2.76

Calculated values
Total moment, Bohr magnetons per cell: 0.0
SG: P4/mbm
Formation energy (no corrections), eV per atom: -0.61

---

Entry 11:
## LiSi2BPb (PBE-GGA)

Data for a relaxed structure of LiSi2BPb.

a = 5.3063 Å, b = 5.3063 Å, c = 5.0723 Å
α = 90.00°, β = 90.00°, γ = 90.00°
With the nearest neighbours (Å) after each atom.
Element x y z (fractional)
Li  0.0000  0.0000  0.0000  2 Pb 2.54
Si  0.0000  0.5000  0.5000  2 Pb 2.65
Si  0.5000  0.0000  0.5000  2 Pb 2.65
B  0.5000  0.5000  0.0000  8 Si 3.67, 4 Li 3.75
Pb  0.0000  0.0000  0.5000  2 Li 2.54, 4 Si 2.65

Calculated values
Total moment, Bohr magnetons per cell: 0.0
SG: P4/mmm
Formation energy (no corrections), eV per atom: 1.87